[1]
PBE In2SeCl, optimized geometry; space-group type = No. 216; theoretical density = 5.63 g/cm3; offset from the most stable computed form = 387.4 meV/atom; energy relative to the elements, uncorrected = -0.69 eV per formula unit
1.0
-3.838 3.270 -1.406
-4.351 0.327 2.893
-0.943 4.300 2.832
Se Cl In
1 1 2
Direct
0.750 0.750 0.750 Se
0.500 0.500 0.500 Cl
0.000 0.000 0.000 In
0.250 0.250 0.250 In



[2]
PBE Cr3SiSb, optimized geometry; space-group type = No. 221; theoretical density = 6.42 g/cm3; offset from the most stable computed form = 0.0 meV/atom; energy relative to the elements, uncorrected = 4.27 eV per formula unit
1.0
-2.915 -2.940 1.135
2.486 -1.196 3.289
-1.937 2.890 2.515
Cr Sb Si
3 1 1
Direct
0.500 0.000 0.000 Cr
0.000 0.000 0.500 Cr
0.000 0.500 0.000 Cr
0.500 0.500 0.500 Sb
0.000 0.000 0.000 Si



[3]
PBE ZnGa2I4, optimized geometry; space-group type = No. 62; theoretical density = 4.09 g/cm3; energy relative to the elements, uncorrected = -3.09 eV per formula unit
1.0
7.448 0.000 0.000
0.000 9.788 0.000
0.000 0.000 15.855
Ga Zn I
8 4 16
Direct
0.013 0.750 0.737 Ga
0.500 0.000 0.500 Ga
0.500 0.500 0.500 Ga
0.000 0.000 0.000 Ga
0.513 0.250 0.763 Ga
0.000 0.500 0.000 Ga
0.987 0.250 0.263 Ga
0.487 0.750 0.237 Ga
0.106 0.250 0.589 Zn
0.894 0.750 0.411 Zn
0.394 0.250 0.089 Zn
0.606 0.750 0.911 Zn
0.760 0.750 0.567 I
0.740 0.750 0.067 I
0.259 0.464 0.170 I
0.753 0.250 0.584 I
0.759 0.536 0.330 I
0.741 0.536 0.830 I
0.260 0.250 0.933 I
0.747 0.250 0.084 I
0.247 0.750 0.416 I
0.759 0.964 0.330 I
0.241 0.036 0.670 I
0.253 0.750 0.916 I
0.240 0.250 0.433 I
0.259 0.036 0.170 I
0.241 0.464 0.670 I
0.741 0.964 0.830 I



[4]
PBE Sb2Br, optimized geometry; space-group type = No. 12; theoretical density = 4.82 g/cm3; offset from the most stable computed form = 2.6 meV/atom; energy relative to the elements, uncorrected = -0.56 eV per formula unit
1.0
6.177 0.015 0.186
4.755 3.942 0.186
1.805 0.653 9.242
Sb Br
4 2
Direct
0.933 0.933 0.582 Sb
0.192 0.192 0.906 Sb
0.678 0.678 0.695 Sb
0.419 0.419 0.372 Sb
0.648 0.648 0.273 Br
0.963 0.963 0.005 Br



[5]
PBE YMgAl2Ag5, optimized geometry; VASP energy = -3.372 eV/atom; space-group type = No. 123; theoretical density = 6.36 g/cm3
1.0
4.807 0.000 0.000
0.000 4.807 0.000
0.000 0.000 7.987
Mg Ag Al Y
1 5 2 1
Direct
0.000 0.000 0.000 Mg
0.500 0.000 0.731 Ag
0.500 0.500 0.500 Ag
0.500 0.000 0.269 Ag
0.000 0.500 0.731 Ag
0.000 0.500 0.269 Ag
0.500 0.500 0.157 Al
0.500 0.500 0.843 Al
0.000 0.000 0.500 Y



[6]
PBE Ho8GaCu2, optimized geometry; space-group type = No. 8; theoretical density = 8.64 g/cm3; offset from the most stable computed form = 127.2 meV/atom
1.0
5.254 0.020 -0.905
-1.859 7.068 -3.147
0.079 -0.254 7.953
Ga Cu Ho
1 2 8
Direct
0.010 0.003 0.003 Ga
0.500 0.698 0.309 Cu
0.500 0.309 0.698 Cu
0.999 0.233 0.772 Ho
0.191 0.389 0.389 Ho
0.402 0.669 0.918 Ho
0.594 0.088 0.337 Ho
0.402 0.918 0.669 Ho
0.999 0.772 0.233 Ho
0.808 0.618 0.618 Ho
0.594 0.337 0.088 Ho



Look up the theoretical density of the sixth one.
8.64 g/cm3



Look up the theoretical density of the first one.
5.63 g/cm3



What is the theoretical density in the sixth record?
8.64 g/cm3



Which of these has the highest theoretical density?
Ho8GaCu2